[1]
Here is a relaxed structure of MgAl2Os2 from the Alexandria database. Energies are from PBE.

Cell lengths 7.3426, 7.3426, 2.8371 Å; angles 90.00, 90.00, 90.00 degrees
Closest atoms and distances in Å follow each position.
Space group P4/mbm (No. 127)
Asymmetric unit:
Mg: 0.0000 0.0000 0.0000  2 Mg 2.84, 4 Al 2.87, 8 Os 3.09
Al: 0.1322 0.3678 0.0000  6 Os 2.55-2.60, 3 Al 2.74-2.84
Os: 0.1633 0.6633 0.5000  6 Al 2.55-2.60, 2 Os 2.84

Output
Energy relative to the lowest polymorph listed for this composition in meV/atom: 0.0
Formation energy in eV per atom: -0.194

=====

[2]
Here is a relaxed structure of YTa3Te from the Alexandria database. Energies are from PBE.

Cell lengths 5.0527, 5.0527, 5.0527 Å; angles 90.00, 90.00, 90.00 degrees
Closest atoms and distances in Å follow each position.
Space group Pm-3m (No. 221)
Asymmetric unit:
Y: 0.0000 0.0000 0.0000  12 Ta 3.57
Ta: 0.0000 0.5000 0.5000  2 Te 2.53
Te: 0.5000 0.5000 0.5000  6 Ta 2.53

Output
Formation energy (no corrections) in eV per atom: 1.247
Energy relative to the lowest polymorph listed for this composition in meV/atom: 0.0

=====

Record order is preserved below.
Calculated volume: 153.0; 129.0 Å³/cell
Record order is preserved below.
VASP energy: -65.02; -38.93 eV for the cell shown
Record order is preserved below.
D(E_F): 0.50; 1.18 states/eV/atom